<one>
Material: Ca2TaRu
Method: DFT, PBE
State: relaxed

Lattice parameters (Å, degrees): 6.079 6.079 6.079 146.55 127.05 64.10
Positions (direct):
Ru1 0.469 0.469 0.000
Ta1 0.308 0.808 0.500
Ca1 0.714 0.214 0.500
Ca2 0.008 0.008 0.000

<two>
Material: Ca2TaRu
Method: DFT, PBE
State: relaxed

Lattice parameters (Å, degrees): 3.038 4.999 5.545 90.00 90.00 90.00
Site moments in Bohr magnetons follow the coordinates.
Positions (direct):
Ta1 0.500 0.500 0.750  -0.02
Ca1 0.000 0.000 0.491  0.00
Ca2 0.000 0.000 0.009  0.00
Ru1 0.500 0.500 0.250  0.27

In order of decreasing stability: <one>, <two>.

<one>
Material: CaTaRu
Method: DFT, PBE
State: relaxed

Lattice parameters (Å, degrees): 7.697 3.152 11.014 90.00 110.78 90.00
Positions (direct):
Ru1 0.212 0.000 0.034
Ru2 0.788 0.500 0.466
Ru3 0.788 0.000 0.966
Ru4 0.212 0.500 0.534
Ta1 0.979 0.000 0.360
Ta2 0.021 0.000 0.640
Ta3 0.979 0.500 0.860
Ta4 0.021 0.500 0.140
Ca1 0.396 0.500 0.850
Ca2 0.604 0.000 0.650
Ca3 0.604 0.500 0.150
Ca4 0.396 0.000 0.350

<two>
Material: CaTaRu
Method: DFT, PBE
State: relaxed

Lattice parameters (Å, degrees): 6.274 6.275 3.287 74.81 74.82 30.37
Positions (direct):
Ca1 0.991 0.991 0.009
Ta1 0.704 0.704 0.296
Ru1 0.305 0.305 0.695

<three>
Material: CaTaRu
Method: DFT, PBE
State: relaxed

Lattice parameters (Å, degrees): 3.242 5.112 7.977 101.93 99.55 90.07
Positions (direct):
Ca1 0.386 0.713 0.365
Ca2 0.614 0.287 0.635
Ta1 0.749 0.744 0.001
Ta2 0.251 0.256 0.999
Ru1 0.152 0.833 0.766
Ru2 0.848 0.167 0.234

In order of decreasing stability: <three>, <one>, <two>.

<one>
Material: CaTaRu
Method: DFT, PBE
State: relaxed

Lattice parameters (Å, degrees): 3.108 4.351 10.645 90.00 98.19 90.00
Positions (direct):
Ca1 0.364 0.000 0.526
Ca2 0.005 0.500 0.813
Ta1 0.243 0.500 0.282
Ta2 0.133 0.000 0.057
Ru1 0.638 0.500 0.069
Ru2 0.737 0.000 0.270

<two>
Material: CaTaRu
Method: DFT, PBE
State: relaxed

Lattice parameters (Å, degrees): 3.314 3.314 6.951 90.00 90.00 120.00
Positions (direct):
Ru1 0.667 0.333 0.372
Ca1 0.000 0.000 0.026
Ta1 0.333 0.667 0.602

In order of decreasing stability: <one>, <two>.

<one>
Material: CaTa2Ru2
Method: DFT, PBE
State: relaxed

Lattice parameters (Å, degrees): 4.320 4.320 6.318 70.01 70.01 90.00
Positions (direct):
Ru1 0.380 0.380 0.241
Ru2 0.620 0.620 0.759
Ta1 0.750 0.250 0.500
Ta2 0.250 0.750 0.500
Ca1 0.000 0.000 0.000

<two>
Material: CaTa2Ru2
Method: DFT, PBE
State: relaxed

Lattice parameters (Å, degrees): 7.844 7.844 3.010 90.00 90.00 90.00
Positions (direct):
Ru1 0.357 0.857 0.000
Ru2 0.857 0.643 0.000
Ru3 0.143 0.357 0.000
Ru4 0.643 0.143 0.000
Ta1 0.146 0.646 0.500
Ta2 0.354 0.146 0.500
Ta3 0.646 0.854 0.500
Ta4 0.854 0.354 0.500
Ca1 0.000 0.000 0.000
Ca2 0.500 0.500 0.000

In order of decreasing stability: <one>, <two>.

<one>
Material: CaTcRu3
Method: DFT, PBE
State: relaxed

Lattice parameters (Å, degrees): 4.513 4.513 4.513 90.00 90.00 90.00
Positions (direct):
Ru1 0.500 0.000 0.000
Ru2 0.000 0.500 0.000
Ru3 0.000 0.000 0.500
Tc1 0.500 0.500 0.500
Ca1 0.000 0.000 0.000

<two>
Material: CaTcRu3
Method: DFT, PBE
State: relaxed

Lattice parameters (Å, degrees): 4.692 4.692 4.692 90.00 90.00 90.00
Positions (direct):
Ca1 0.500 0.500 0.500
Ru1 0.000 0.000 0.500
Ru2 0.500 0.000 0.000
Ru3 0.000 0.500 0.000
Tc1 0.000 0.000 0.000

In order of decreasing stability: <two>, <one>.

<one>
Material: CaTh2Ru
Method: DFT, PBE
State: relaxed

Lattice parameters (Å, degrees): 3.968 3.968 10.902 79.51 79.51 60.00
Positions (direct):
Th1 0.883 0.883 0.351
Th2 0.117 0.117 0.649
Ru1 0.500 0.500 0.500
Ca1 0.000 0.000 0.000

<two>
Material: CaTh2Ru
Method: DFT, PBE
State: relaxed

Lattice parameters (Å, degrees): 4.068 4.068 9.651 77.83 77.83 60.00
Positions (direct):
Th1 0.279 0.279 0.164
Th2 0.055 0.055 0.836
Ru1 0.666 0.666 0.003
Ca1 0.501 0.501 0.497

In order of decreasing stability: <two>, <one>.

<one>
Material: CaThRu
Method: DFT, PBE
State: relaxed

Lattice parameters (Å, degrees): 3.517 3.517 7.118 104.30 104.30 90.00
Positions (direct):
Ca1 0.031 0.031 0.061
Ru1 0.681 0.681 0.362
Th1 0.288 0.288 0.577

<two>
Material: CaThRu
Method: DFT, PBE
State: relaxed

Lattice parameters (Å, degrees): 4.712 4.737 9.043 74.98 90.00 119.83
Positions (direct):
Ru1 0.766 0.532 0.202
Ru2 0.234 0.468 0.798
Th1 0.879 0.758 0.862
Th2 0.121 0.242 0.138
Ca1 0.629 0.257 0.614
Ca2 0.371 0.743 0.386

In order of decreasing stability: <two>, <one>.

<one>
Material: Ca2TlRu
Method: DFT, PBE
State: relaxed

Lattice parameters (Å, degrees): 5.526 5.526 5.526 131.45 131.45 71.10
Positions (direct):
Tl1 0.750 0.250 0.500
Ru1 0.500 0.500 0.000
Ca1 0.000 0.000 0.000
Ca2 0.250 0.750 0.500

<two>
Material: Ca2TlRu
Method: DFT, PBE
State: relaxed

Lattice parameters (Å, degrees): 5.059 5.059 5.059 60.00 60.00 60.00
Positions (direct):
Tl1 0.750 0.750 0.750
Ca1 0.000 0.000 0.000
Ca2 0.250 0.250 0.250
Ru1 0.500 0.500 0.500

<three>
Material: Ca2TlRu
Method: DFT, PBE
State: relaxed

Lattice parameters (Å, degrees): 9.769 9.769 7.416 48.80 48.80 90.00
Positions (direct):
Ca1 0.875 0.732 0.750
Ca2 0.375 0.518 0.750
Ca3 0.482 0.125 0.250
Ca4 0.268 0.625 0.250
Ru1 0.500 0.500 0.000
Ru2 0.250 0.750 0.500
Tl1 0.750 0.250 0.500
Tl2 0.000 0.000 0.000

<four>
Material: Ca2TlRu
Method: DFT, PBE
State: relaxed

Lattice parameters (Å, degrees): 4.584 4.016 6.068 70.75 90.00 90.00
Positions (direct):
Tl1 0.500 0.560 0.756
Ca1 0.500 0.272 0.329
Ca2 0.000 0.977 0.922
Ru1 0.000 0.691 0.493

In order of decreasing stability: <four>, <one>, <two>, <three>.

<one>
Material: Ca2TlRu
Method: DFT, PBE
State: relaxed

Lattice parameters (Å, degrees): 6.231 6.231 5.163 65.12 65.12 33.88
Positions (direct):
Tl1 0.207 0.207 0.296
Ru1 0.513 0.513 0.483
Ca1 0.789 0.789 0.713
Ca2 0.991 0.991 0.008

<two>
Material: Ca2TlRu
Method: DFT, PBE
State: relaxed

Lattice parameters (Å, degrees): 9.833 9.833 9.833 20.55 20.55 20.55
Site moments in Bohr magnetons follow the coordinates.
Positions (direct):
Ca1 0.986 0.986 0.986  -0.01
Ca2 0.514 0.514 0.514  -0.01
Tl1 0.750 0.750 0.750  0.01
Ru1 0.250 0.250 0.250  0.34

<three>
Material: Ca2TlRu
Method: DFT, PBE
State: relaxed

Lattice parameters (Å, degrees): 5.131 5.131 5.131 60.00 60.00 60.00
Positions (direct):
Tl1 0.500 0.500 0.500
Ca1 0.750 0.750 0.750
Ca2 0.250 0.250 0.250
Ru1 0.000 0.000 0.000

In order of decreasing stability: <one>, <three>, <two>.

<one>
Material: Ca2TlRu
Method: DFT, PBE
State: relaxed

Lattice parameters (Å, degrees): 3.545 3.564 8.487 65.33 90.00 90.00
Positions (direct):
Ca1 0.000 0.539 0.460
Ca2 0.000 0.961 0.040
Tl1 0.500 0.750 0.750
Ru1 0.500 0.250 0.250

<two>
Material: Ca2TlRu
Method: DFT, PBE
State: relaxed

Lattice parameters (Å, degrees): 3.605 3.605 8.160 90.00 90.00 90.00
Positions (direct):
Ca1 0.000 0.000 0.937
Ca2 0.500 0.500 0.324
Ru1 0.000 0.000 0.541
Tl1 0.500 0.500 0.698

In order of decreasing stability: <one>, <two>.

<one>
Material: Ca2Tl2Ru
Method: DFT, PBE
State: relaxed

Lattice parameters (Å, degrees): 7.305 7.305 4.953 90.00 90.00 90.00
Site moments in Bohr magnetons follow the coordinates.
Positions (direct):
Ca1 0.323 0.177 0.500  0.00
Ca2 0.823 0.323 0.500  0.00
Ca3 0.677 0.823 0.500  0.00
Ca4 0.177 0.677 0.500  0.00
Tl1 0.354 0.854 0.000  0.00
Tl2 0.646 0.146 0.000  0.00
Tl3 0.854 0.646 0.000  0.00
Tl4 0.146 0.354 0.000  0.00
Ru1 0.000 0.000 0.000  0.19
Ru2 0.500 0.500 0.000  0.18

<two>
Material: Ca2Tl2Ru
Method: DFT, PBE
State: relaxed

Lattice parameters (Å, degrees): 4.314 4.314 7.818 73.98 73.98 90.00
Site moments in Bohr magnetons follow the coordinates.
Positions (direct):
Ca1 0.250 0.750 0.500  0.00
Ca2 0.750 0.250 0.500  0.00
Tl1 0.595 0.595 0.811  -0.02
Tl2 0.405 0.405 0.189  -0.02
Ru1 0.000 0.000 0.000  1.61

In order of decreasing stability: <one>, <two>.

<one>
Material: CaTlRu3
Method: DFT, PBE
State: relaxed

Lattice parameters (Å, degrees): 4.806 4.806 4.806 90.00 90.00 90.00
Site moments in Bohr magnetons follow the coordinates.
Positions (direct):
Ca1 0.000 0.000 0.000  -0.07
Tl1 0.500 0.500 0.500  0.00
Ru1 0.000 0.500 0.000  1.62
Ru2 0.500 0.000 0.000  1.71
Ru3 0.000 0.000 0.500  1.58

<two>
Material: CaTlRu3
Method: DFT, PBE
State: relaxed

Lattice parameters (Å, degrees): 5.035 5.035 5.035 90.00 90.00 90.00
Site moments in Bohr magnetons follow the coordinates.
Positions (direct):
Tl1 0.000 0.000 0.000  -0.03
Ca1 0.500 0.500 0.500  -0.02
Ru1 0.000 0.500 0.000  1.74
Ru2 0.000 0.000 0.500  1.89
Ru3 0.500 0.000 0.000  1.16

In order of decreasing stability: <two>, <one>.